[1]
Computed, not measured: a relaxed CdAuSe2 crystal at the PBE level of DFT.

Uncorrected energy   -10.54 eV per formula unit
Space-group type   P4/mmm, No. 123

Unit cell a=3.8863 b=3.8863 c=5.6989 alpha=90.00 beta=90.00 gamma=90.00
Atoms (fractional coordinates):
Cd (0.5000, 0.5000, 0.7500)
Au (0.5000, 0.5000, 0.2500)
Se (0.0000, 0.0000, 0.0034)
Se (0.0000, 0.0000, 0.4966)

***

[2]
Computed, not measured: a relaxed CdAuSe2 crystal at the PBE level of DFT.

Uncorrected energy   -11.74 eV per formula unit
Space-group type   R-3m, No. 166

Unit cell a=6.9083 b=6.9083 c=6.9083 alpha=33.40 beta=33.40 gamma=33.40
Atoms (fractional coordinates):
Se (0.5050, 0.5050, 0.5050)
Se (0.9950, 0.9950, 0.9950)
Au (0.2500, 0.2500, 0.2500)
Cd (0.7500, 0.7500, 0.7500)

***

[3]
Computed, not measured: a relaxed Cd2Au2Se crystal at the PBE level of DFT.

Uncorrected energy   -12.17 eV per formula unit
Space-group type   P4/mbm, No. 127
Distance to the lowest polymorph of the same formula   0.0 meV/atom

Unit cell a=7.3471 b=7.3471 c=3.9345 alpha=90.00 beta=90.00 gamma=90.00
Atoms (fractional coordinates):
Au (0.6382, 0.1382, 0.0000)
Au (0.3618, 0.8618, 0.0000)
Au (0.1382, 0.3618, 0.0000)
Au (0.8618, 0.6382, 0.0000)
Cd (0.1604, 0.6604, 0.5000)
Cd (0.6604, 0.8396, 0.5000)
Cd (0.8396, 0.3396, 0.5000)
Cd (0.3396, 0.1604, 0.5000)
Se (0.5000, 0.5000, 0.0000)
Se (0.0000, 0.0000, 0.0000)

***

[4]
Computed, not measured: a relaxed CdAuSe2 crystal at the PBE level of DFT.

Uncorrected energy   -11.87 eV per formula unit
Space-group type   Pm, No. 6

Unit cell a=4.1348 b=5.8280 c=4.6263 alpha=85.35 beta=90.00 gamma=90.00
Atoms (fractional coordinates):
Au (0.0000, 0.2714, 0.4940)
Se (0.5000, 0.4886, 0.3189)
Se (0.0000, 0.9894, 0.9274)
Cd (0.5000, 0.7506, 0.7597)

***

[5]
Computed, not measured: a relaxed CdAuSe crystal at the PBE level of DFT.

Uncorrected energy   -7.88 eV per formula unit
Space-group type   P3m1, No. 156
Distance to the lowest polymorph of the same formula   0.0 meV/atom

Unit cell a=4.0768 b=4.0768 c=4.7022 alpha=90.00 beta=90.00 gamma=120.00
Atoms (fractional coordinates):
Au (0.0000, 0.0000, 0.6766)
Cd (0.6667, 0.3333, 0.3325)
Se (0.3333, 0.6667, 0.9910)

***

[6]
Computed, not measured: a relaxed CdAuSe2 crystal at the PBE level of DFT.

Uncorrected energy   -10.08 eV per formula unit
Space-group type   P4/mmm, No. 123

Unit cell a=3.3581 b=3.3581 c=7.5000 alpha=90.00 beta=90.00 gamma=90.00
Atoms (fractional coordinates):
Au (0.5000, 0.5000, 0.2500)
Se (0.0000, 0.0000, 0.4951)
Se (0.0000, 0.0000, 0.0049)
Cd (0.5000, 0.5000, 0.7500)

***

What is the uncorrected energy in the fifth record? -7.88 eV per formula unit